Record 1
# Cr4CuAs (PBE-GGA, optimized geometry)
# D(E_F) in states/eV/atom: 0.995
# Electronic total energy in eV/atom: -7.415
# Formation energy in eV per atom: 0.46
# ρ in g/cm³: 7.504
data_Cr4CuAs
_symmetry_space_group_name_H-M 'P 1'
_symmetry_Int_Tables_number 1
_cell_length_a 4.768
_cell_length_b 4.768
_cell_length_c 4.768
_cell_angle_alpha 60.00
_cell_angle_beta 60.00
_cell_angle_gamma 60.00
loop_
_symmetry_equiv_pos_as_xyz
'x,y,z'
loop_
_atom_site_label
_atom_site_type_symbol
_atom_site_fract_x
_atom_site_fract_y
_atom_site_fract_z
Cr1 Cr 0.123 0.123 0.123
Cr2 Cr 0.123 0.123 0.632
Cr3 Cr 0.123 0.632 0.123
Cr4 Cr 0.632 0.123 0.123
Cu1 Cu 0.750 0.750 0.750
As1 As 0.500 0.500 0.500

=====

Record 2
# CrCu3Se4 (PBE-GGA, optimized geometry)
# D(E_F) in states/eV/atom: 0.633
# Electronic total energy in eV/atom: -4.708
# Formation energy (no corrections) in meV/atom: -226.6
# ρ in g/cm³: 5.496
data_CrCu3Se4
_symmetry_space_group_name_H-M 'P 1'
_symmetry_Int_Tables_number 1
_cell_length_a 6.728
_cell_length_b 6.728
_cell_length_c 6.728
_cell_angle_alpha 131.20
_cell_angle_beta 131.20
_cell_angle_gamma 71.49
loop_
_symmetry_equiv_pos_as_xyz
'x,y,z'
loop_
_atom_site_label
_atom_site_type_symbol
_atom_site_fract_x
_atom_site_fract_y
_atom_site_fract_z
Cr1 Cr 0.000 0.000 0.000
Cu1 Cu 0.250 0.750 0.500
Cu2 Cu 0.500 0.500 0.000
Cu3 Cu 0.750 0.250 0.500
Se1 Se 0.121 0.121 0.486
Se2 Se 0.365 0.879 0.000
Se3 Se 0.635 0.635 0.514
Se4 Se 0.879 0.365 0.000

=====

Record 3
# Co3PdAu (PBE-GGA, optimized geometry)
# E above lowest polymorph in eV/atom: 0.000
# D(E_F) in states/eV/atom: 1.809
# Electronic total energy in eV/atom: -4.595
# Formation energy in eV per atom: 1.36
# ρ in g/cm³: 8.538
data_Co3PdAu
_symmetry_space_group_name_H-M 'P 1'
_symmetry_Int_Tables_number 1
_cell_length_a 4.537
_cell_length_b 4.537
_cell_length_c 4.537
_cell_angle_alpha 90.00
_cell_angle_beta 90.00
_cell_angle_gamma 90.00
loop_
_symmetry_equiv_pos_as_xyz
'x,y,z'
loop_
_atom_site_label
_atom_site_type_symbol
_atom_site_fract_x
_atom_site_fract_y
_atom_site_fract_z
Co1 Co 0.000 0.000 0.500
Co2 Co 0.000 0.500 0.000
Co3 Co 0.500 0.000 0.000
Pd1 Pd 0.000 0.000 0.000
Au1 Au 0.500 0.500 0.500

=====

Record 4
# PrMg2Pt2 (PBE-GGA, optimized geometry)
# E above lowest polymorph in eV/atom: 0.058
# D(E_F) in states/eV/atom: 0.442
# Electronic total energy in eV/atom: -4.838
# Formation energy in eV per atom: -0.83
# ρ in g/cm³: 9.019
data_PrMg2Pt2
_symmetry_space_group_name_H-M 'P 1'
_symmetry_Int_Tables_number 1
_cell_length_a 5.164
_cell_length_b 4.783
_cell_length_c 8.764
_cell_angle_alpha 90.00
_cell_angle_beta 99.55
_cell_angle_gamma 90.00
loop_
_symmetry_equiv_pos_as_xyz
'x,y,z'
loop_
_atom_site_label
_atom_site_type_symbol
_atom_site_fract_x
_atom_site_fract_y
_atom_site_fract_z
Pr1 Pr 0.164 0.250 0.285
Pr2 Pr 0.836 0.750 0.715
Mg1 Mg 0.286 0.250 0.660
Mg2 Mg 0.353 0.750 0.988
Mg3 Mg 0.647 0.250 0.012
Mg4 Mg 0.714 0.750 0.340
Pt1 Pt 0.121 0.250 0.928
Pt2 Pt 0.299 0.750 0.506
Pt3 Pt 0.701 0.250 0.494
Pt4 Pt 0.879 0.750 0.072

=====

Record 5
# ZnCuNiB2 (PBE-GGA, optimized geometry)
# D(E_F) in states/eV/atom: 0.547
# Electronic total energy in eV/atom: -3.377
# Formation energy in eV per atom: 1.52
# ρ in g/cm³: 5.360
data_ZnCuNiB2
_symmetry_space_group_name_H-M 'P 1'
_symmetry_Int_Tables_number 1
_cell_length_a 3.805
_cell_length_b 3.805
_cell_length_c 4.477
_cell_angle_alpha 90.00
_cell_angle_beta 90.00
_cell_angle_gamma 90.00
loop_
_symmetry_equiv_pos_as_xyz
'x,y,z'
loop_
_atom_site_label
_atom_site_type_symbol
_atom_site_fract_x
_atom_site_fract_y
_atom_site_fract_z
Zn1 Zn 0.000 0.000 0.000
Cu1 Cu 0.500 0.500 0.500
Ni1 Ni 0.000 0.000 0.500
B1 B 0.000 0.500 0.000
B2 B 0.500 0.000 0.000

=====

Record 6
# Sb2IrRu (PBE-GGA, optimized geometry)
# E above lowest polymorph in eV/atom: 0.070
# D(E_F) in states/eV/atom: 0.414
# Electronic total energy in eV/atom: -6.497
# Formation energy (no corrections) in meV/atom: 98.2
# ρ in g/cm³: 10.849
data_Sb2IrRu
_symmetry_space_group_name_H-M 'P 1'
_symmetry_Int_Tables_number 1
_cell_length_a 3.496
_cell_length_b 5.041
_cell_length_c 4.950
_cell_angle_alpha 90.00
_cell_angle_beta 109.62
_cell_angle_gamma 90.00
loop_
_symmetry_equiv_pos_as_xyz
'x,y,z'
loop_
_atom_site_label
_atom_site_type_symbol
_atom_site_fract_x
_atom_site_fract_y
_atom_site_fract_z
Sb1 Sb 0.000 0.000 0.000
Sb2 Sb 0.207 0.500 0.371
Ir1 Ir 0.900 0.500 0.778
Ru1 Ru 0.307 0.000 0.590

=====

Record 7
# LaSb2Rh (PBE-GGA, optimized geometry)
# D(E_F) in states/eV/atom: 0.724
# Electronic total energy in eV/atom: -5.579
# Formation energy (no corrections) in meV/atom: -447.7
# ρ in g/cm³: 8.136
data_LaSb2Rh
_symmetry_space_group_name_H-M 'P 1'
_symmetry_Int_Tables_number 1
_cell_length_a 3.826
_cell_length_b 3.826
_cell_length_c 6.768
_cell_angle_alpha 90.00
_cell_angle_beta 90.00
_cell_angle_gamma 90.00
loop_
_symmetry_equiv_pos_as_xyz
'x,y,z'
loop_
_atom_site_label
_atom_site_type_symbol
_atom_site_fract_x
_atom_site_fract_y
_atom_site_fract_z
La1 La 0.000 0.000 0.000
Sb1 Sb 0.000 0.000 0.475
Sb2 Sb 0.500 0.500 0.742
Rh1 Rh 0.500 0.500 0.343

=====

Record 8
# LaTbPr2Tm4 (PBE-GGA, optimized geometry)
# D(E_F) in states/eV/atom: 1.192
# Electronic total energy in eV/atom: -4.606
# Formation energy in eV per atom: 0.02
# ρ in g/cm³: 8.042
data_LaTbPr2Tm4
_symmetry_space_group_name_H-M 'P 1'
_symmetry_Int_Tables_number 1
_cell_length_a 7.178
_cell_length_b 7.178
_cell_length_c 12.324
_cell_angle_alpha 106.87
_cell_angle_beta 106.87
_cell_angle_gamma 60.06
loop_
_symmetry_equiv_pos_as_xyz
'x,y,z'
loop_
_atom_site_label
_atom_site_type_symbol
_atom_site_fract_x
_atom_site_fract_y
_atom_site_fract_z
La1 La 0.000 0.500 0.000
La2 La 0.500 0.000 0.000
Tb1 Tb 0.000 0.000 0.000
Tb2 Tb 0.000 0.000 0.500
Pr1 Pr 0.000 0.500 0.500
Pr2 Pr 0.500 0.000 0.500
Pr3 Pr 0.500 0.500 0.000
Pr4 Pr 0.500 0.500 0.500
Tm1 Tm 0.249 0.249 0.749
Tm2 Tm 0.249 0.750 0.749
Tm3 Tm 0.250 0.250 0.251
Tm4 Tm 0.250 0.751 0.251
Tm5 Tm 0.750 0.249 0.749
Tm6 Tm 0.750 0.750 0.749
Tm7 Tm 0.751 0.250 0.251
Tm8 Tm 0.751 0.751 0.251